This record from Alexandria describes crystalline K3La3US8 at its relaxed geometry. The functional is PBE.

The structure in CIF format:
```
data_K3La3US8
_chemical_formula_sum 'K3 La3 U1 S8'
_space_group_name_H-M_alt 'P 1'
_space_group_IT_number 1
_cell_length_a 8.476
_cell_length_b 8.476
_cell_length_c 8.906
_cell_angle_alpha 118.39
_cell_angle_beta 118.39
_cell_angle_gamma 60.07
loop_
_space_group_symop_operation_xyz
'x,y,z'
loop_
_atom_site_label
_atom_site_type_symbol
_atom_site_fract_x
_atom_site_fract_y
_atom_site_fract_z
K1 K 0.000 0.000 0.000
K2 K 0.000 0.500 0.000
K3 K 0.500 0.000 0.000
La1 La 0.000 0.500 0.500
La2 La 0.500 0.000 0.500
La3 La 0.500 0.500 0.500
U1 U 0.000 0.000 0.500
S1 S 0.222 0.222 0.695
S2 S 0.222 0.751 0.695
S3 S 0.249 0.778 0.305
S4 S 0.264 0.264 0.292
S5 S 0.736 0.736 0.708
S6 S 0.751 0.222 0.695
S7 S 0.778 0.249 0.305
S8 S 0.778 0.778 0.305
```

- E_form (uncorrected): -41.8 kcal/mol of atoms
- E: -5.970 eV/atom
- Volume: 30.89 Å³/atom
- SG: C2/m
- Size of the total moment: 2.0 μB/cell

***

This record from Alexandria describes crystalline K3La3VS8 at its relaxed geometry. The functional is PBE.

The structure in CIF format:
```
data_K3La3VS8
_chemical_formula_sum 'K3 La3 V1 S8'
_space_group_name_H-M_alt 'P 1'
_space_group_IT_number 1
_cell_length_a 8.860
_cell_length_b 8.860
_cell_length_c 8.860
_cell_angle_alpha 55.34
_cell_angle_beta 55.34
_cell_angle_gamma 55.34
loop_
_space_group_symop_operation_xyz
'x,y,z'
loop_
_atom_site_label
_atom_site_type_symbol
_atom_site_fract_x
_atom_site_fract_y
_atom_site_fract_z
K1 K 0.000 0.500 0.500
K2 K 0.500 0.000 0.500
K3 K 0.500 0.500 0.000
La1 La 0.000 0.000 0.500
La2 La 0.000 0.500 0.000
La3 La 0.500 0.000 0.000
V1 V 0.500 0.500 0.500
S1 S 0.238 0.238 0.238
S2 S 0.273 0.707 0.707
S3 S 0.293 0.293 0.727
S4 S 0.293 0.727 0.293
S5 S 0.707 0.273 0.707
S6 S 0.707 0.707 0.273
S7 S 0.727 0.293 0.293
S8 S 0.762 0.762 0.762
```

- E_form (uncorrected): -37.1 kcal/mol of atoms
- E: -5.623 eV/atom
- Volume: 29.24 Å³/atom
- SG: R-3m
- Size of the total moment: 1.0 μB/cell

***

This record from Alexandria describes crystalline K4La3YS8 at its relaxed geometry. The functional is PBE.

The structure in CIF format:
```
data_K4La3YS8
_chemical_formula_sum 'K4 La3 Y1 S8'
_space_group_name_H-M_alt 'P 1'
_space_group_IT_number 1
_cell_length_a 8.846
_cell_length_b 8.846
_cell_length_c 8.846
_cell_angle_alpha 57.22
_cell_angle_beta 57.22
_cell_angle_gamma 57.22
loop_
_space_group_symop_operation_xyz
'x,y,z'
loop_
_atom_site_label
_atom_site_type_symbol
_atom_site_fract_x
_atom_site_fract_y
_atom_site_fract_z
K1 K 0.000 0.000 0.000
K2 K 0.000 0.500 0.500
K3 K 0.500 0.000 0.500
K4 K 0.500 0.500 0.000
La1 La 0.000 0.000 0.500
La2 La 0.000 0.500 0.000
La3 La 0.500 0.000 0.000
Y1 Y 0.500 0.500 0.500
S1 S 0.236 0.236 0.236
S2 S 0.245 0.730 0.730
S3 S 0.270 0.270 0.755
S4 S 0.270 0.755 0.270
S5 S 0.730 0.245 0.730
S6 S 0.730 0.730 0.245
S7 S 0.755 0.270 0.270
S8 S 0.764 0.764 0.764
```

- E_form (uncorrected): -44.0 kcal/mol of atoms
- E: -5.574 eV/atom
- Volume: 28.63 Å³/atom
- SG: R-3m
- Size of the total moment: 0.0 μB/cell